Compound: Hf6SiPd12
Source: the Alexandria database
Functional: PBE-GGA
Structure: optimized geometry

Computed properties:
The energy relative to the elements, uncorrected comes out at -0.66 eV per atom. As for the space group: R-3.

Structure (CIF):
```
data_Hf6SiPd12
_symmetry_space_group_name_H-M 'P 1'
_symmetry_Int_Tables_number 1
_symmetry_space_group_name_Hall 'P 1'
_cell_length_a 6.922
_cell_length_b 6.922
_cell_length_c 6.922
_cell_angle_alpha 93.95
_cell_angle_beta 93.95
_cell_angle_gamma 93.95
loop_
_atom_site_label
_atom_site_fract_x
_atom_site_fract_y
_atom_site_fract_z
Hf1 0.193 0.751 0.362
Hf2 0.249 0.638 0.807
Hf3 0.362 0.193 0.751
Hf4 0.638 0.807 0.249
Hf5 0.751 0.362 0.193
Hf6 0.807 0.249 0.638
Si1 0.500 0.500 0.500
Pd1 0.031 0.954 0.707
Pd2 0.046 0.293 0.969
Pd3 0.146 0.378 0.467
Pd4 0.293 0.969 0.046
Pd5 0.378 0.467 0.146
Pd6 0.467 0.146 0.378
Pd7 0.533 0.854 0.622
Pd8 0.622 0.533 0.854
Pd9 0.707 0.031 0.954
Pd10 0.854 0.622 0.533
Pd11 0.954 0.707 0.031
Pd12 0.969 0.046 0.293
```